# 1
{"formula": "Th2InGa2Ir5", "functional": "PBE", "state": "optimized geometry", "lattice_angstrom": [[9.916, 0.000, 0.000], [0.000, 9.916, 0.000], [0.000, 0.000, 3.770]], "species": ["Th", "Th", "Th", "Th", "In", "In", "Ga", "Ga", "Ga", "Ga", "Ir", "Ir", "Ir", "Ir", "Ir", "Ir", "Ir", "Ir", "Ir", "Ir"], "frac_coords": [[0.178, 0.322, 0.000], [0.322, 0.822, 0.000], [0.678, 0.178, 0.000], [0.822, 0.678, 0.000], [0.000, 0.000, 0.000], [0.500, 0.500, 0.000], [0.119, 0.619, 0.000], [0.381, 0.119, 0.000], [0.619, 0.881, 0.000], [0.881, 0.381, 0.000], [0.000, 0.500, 0.500], [0.068, 0.786, 0.500], [0.214, 0.068, 0.500], [0.286, 0.568, 0.500], [0.432, 0.286, 0.500], [0.500, 0.000, 0.500], [0.568, 0.714, 0.500], [0.714, 0.432, 0.500], [0.786, 0.932, 0.500], [0.932, 0.214, 0.500]], "n_ef_per_ev_cell": 7.6, "final_energy_ev_per_atom": -7.399, "e_form_ev_per_atom": -0.606, "magmom_total_mub_per_atom": 0.0000, "spacegroup": "P4/mbm (127)"}

=====

# 2
{"formula": "NaIn3Ag", "functional": "PBE", "state": "optimized geometry", "lattice_angstrom": [[5.482, 0.000, 0.000], [0.000, 5.482, 0.000], [0.000, 0.000, 5.482]], "species": ["Na", "In", "In", "In", "Ag"], "frac_coords": [[0.000, 0.000, 0.000], [0.000, 0.000, 0.500], [0.000, 0.500, 0.000], [0.500, 0.000, 0.000], [0.500, 0.500, 0.500]], "n_ef_per_ev_cell": 2.8, "final_energy_ev_per_atom": -1.831, "e_form_ev_per_atom": 0.647, "magmom_total_mub_per_atom": 0.0000, "spacegroup": "Pm-3m (221)"}

=====

# 3
{"formula": "ScBe3", "functional": "PBE", "state": "optimized geometry", "lattice_angstrom": [[3.912, 0.000, 0.000], [0.000, 7.373, 0.000], [0.000, 0.000, 7.127]], "species": ["Sc", "Sc", "Sc", "Sc", "Be", "Be", "Be", "Be", "Be", "Be", "Be", "Be", "Be", "Be", "Be", "Be"], "frac_coords": [[0.096, 0.250, 0.068], [0.404, 0.750, 0.568], [0.596, 0.250, 0.432], [0.904, 0.750, 0.932], [0.080, 0.506, 0.326], [0.080, 0.994, 0.326], [0.171, 0.250, 0.707], [0.329, 0.750, 0.207], [0.420, 0.006, 0.826], [0.420, 0.494, 0.826], [0.580, 0.506, 0.174], [0.580, 0.994, 0.174], [0.671, 0.250, 0.793], [0.829, 0.750, 0.293], [0.920, 0.006, 0.674], [0.920, 0.494, 0.674]], "n_ef_per_ev_cell": 9.6, "final_energy_ev_per_atom": -4.261, "e_form_ev_per_atom": 0.117, "magmom_total_mub_per_atom": 0.0000, "spacegroup": "Pnma (62)"}

=====

# 4
{"formula": "KNaCdPt", "functional": "PBE", "state": "optimized geometry", "lattice_angstrom": [[0.000, 3.617, 3.617], [3.617, 0.000, 3.617], [3.617, 3.617, 0.000]], "species": ["K", "Na", "Cd", "Pt"], "frac_coords": [[0.000, 0.000, 0.000], [0.750, 0.750, 0.750], [0.250, 0.250, 0.250], [0.500, 0.500, 0.500]], "n_ef_per_ev_cell": 0.9, "final_energy_ev_per_atom": -2.384, "e_form_ev_per_atom": -0.041, "magmom_total_mub_per_atom": 0.0000, "spacegroup": "F-43m (216)"}

=====

# 5
{"formula": "LaGa4", "functional": "PBE", "state": "optimized geometry", "lattice_angstrom": [[5.748, 0.000, 0.000], [0.000, 5.748, 0.000], [0.000, 0.000, 5.748]], "species": ["La", "Ga", "Ga", "Ga", "Ga"], "frac_coords": [[0.000, 0.000, 0.000], [0.000, 0.000, 0.500], [0.000, 0.500, 0.000], [0.500, 0.000, 0.000], [0.500, 0.500, 0.500]], "n_ef_per_ev_cell": 8.8, "final_energy_ev_per_atom": -2.628, "e_form_ev_per_atom": 0.779, "magmom_total_mub_per_atom": 0.0807, "spacegroup": "Pm-3m (221)"}

=====

# 6
{"formula": "Ca2YOs", "functional": "PBE", "state": "optimized geometry", "lattice_angstrom": [[-4.942, 4.942, 2.725], [4.942, -4.942, 2.725], [4.942, 4.942, -2.725]], "species": ["Ca", "Ca", "Ca", "Ca", "Y", "Y", "Os", "Os"], "frac_coords": [[0.004, 0.625, 0.879], [0.375, 0.254, 0.379], [0.746, 0.125, 0.121], [0.875, 0.996, 0.621], [0.250, 0.750, 0.500], [0.500, 0.500, 0.000], [0.000, 0.000, 0.000], [0.750, 0.250, 0.500]], "n_ef_per_ev_cell": 6.0, "final_energy_ev_per_atom": -4.994, "e_form_ev_per_atom": 0.431, "magmom_total_mub_per_atom": 0.0000, "spacegroup": "I-42d (122)"}